The following is a DFT calculation (PBE) of a geometry-optimized EuPuTlAg structure.

Properties
The value obtained for the final energy is -7.5356 eV/atom. The space-group type is No. 216. For the density of states at the Fermi level, the calculation gives 3.71 states/eV per atom. The crystal system is cubic.

Cell lengths 5.420, 5.420, 5.420 Å; angles 60.00, 60.00, 60.00 degrees
Element x y z (fractional)
Eu1 0.000 0.000 0.000
Pu1 0.500 0.500 0.500
Tl1 0.250 0.250 0.250
Ag1 0.750 0.750 0.750


The following is a DFT calculation (PBE) of a geometry-optimized Ac2La2Mg structure.

Properties
The value obtained for the final energy is -3.9449 eV/atom. The space-group type is No. 139. For the density of states at the Fermi level, the calculation gives 1.44 states/eV per atom. The crystal system is tetragonal.

Cell lengths 12.662, 12.662, 12.662 Å; angles 162.16, 162.16, 25.33 degrees
Element x y z (fractional)
Ac1 0.090 0.090 0.000
Ac2 0.910 0.910 0.000
La1 0.301 0.301 0.000
La2 0.699 0.699 0.000
Mg1 0.500 0.500 0.000


The following is a DFT calculation (PBE) of a geometry-optimized K2VSiCl structure.

Properties
The space-group type is No. 123. For the raw formation energy, the calculation gives 216 meV/atom. For the density of states at the Fermi level, the calculation gives 0.98 states/eV per atom. The crystal system is tetragonal.

Cell lengths 6.466, 6.466, 4.661 Å; angles 90.00, 90.00, 90.00 degrees
Element x y z (fractional)
K1 0.000 0.500 0.000
K2 0.500 0.000 0.000
V1 0.000 0.000 0.000
Si1 0.000 0.000 0.500
Cl1 0.500 0.500 0.500